[1]
First-principles (GGA-PBE) data for an optimized crystal structure of NaCo2Sn, as listed in Alexandria.

Magnetization, μB per formula unit: 2.584
ΔH_f (0 K), eV/atom: 0.76

Geometry as CIF:
```
data_NaCo2Sn
_symmetry_space_group_name_H-M 'I -4 2 d'
_symmetry_Int_Tables_number 122
_symmetry_space_group_name_Hall 'I -4 2bw'
_cell_length_a 7.232
_cell_length_b 7.232
_cell_length_c 5.482
_cell_angle_alpha 90.00
_cell_angle_beta 90.00
_cell_angle_gamma 90.00
loop_
_atom_site_label
_atom_site_fract_x
_atom_site_fract_y
_atom_site_fract_z
Na1 0.000 0.000 0.000
Co1 0.228 0.250 0.625
Sn1 0.000 0.000 0.500
```

---

[2]
First-principles (GGA-PBE) data for an optimized crystal structure of Na2In4Hg3, as listed in Alexandria.

Polymorph energy (0 for the lowest one), eV/atom: 0.025
Magnetization, μB per formula unit: 0.000
ΔH_f (0 K), eV/atom: -0.09

Geometry as CIF:
```
data_Na2In4Hg3
_symmetry_space_group_name_H-M 'C m c e'
_symmetry_Int_Tables_number 64
_symmetry_space_group_name_Hall '-C 2ac 2'
_cell_length_a 6.287
_cell_length_b 16.627
_cell_length_c 9.509
_cell_angle_alpha 90.00
_cell_angle_beta 90.00
_cell_angle_gamma 90.00
loop_
_atom_site_label
_atom_site_fract_x
_atom_site_fract_y
_atom_site_fract_z
Na1 0.000 0.101 0.087
In1 0.000 0.183 0.493
In2 0.250 0.064 0.750
Hg1 0.000 0.000 0.500
Hg2 0.250 0.245 0.750
```

---

The highest magnetization belongs to which entry?
NaCo2Sn